(1)
Entry from Alexandria: an optimized crystal structure of LiCePmBi (PBE).

Values from the calculation:
Calculated formation energy, eV per atom: -0.29
Space group: F-43m

The structure in CIF format:
```
data_LiCePmBi
_chemical_formula_sum 'Li1 Ce1 Pm1 Bi1'
_symmetry_space_group_name_H-M 'P 1'
_symmetry_Int_Tables_number 1
_symmetry_space_group_name_Hall 'P 1'
_cell_length_a 5.446
_cell_length_b 5.446
_cell_length_c 5.446
_cell_angle_alpha 60.00
_cell_angle_beta 60.00
_cell_angle_gamma 60.00
loop_
_atom_site_label
_atom_site_type_symbol
_atom_site_fract_x
_atom_site_fract_y
_atom_site_fract_z
_atom_site_occupancy
Pm1 Pm 0.500 0.500 0.500 1
Li1 Li 0.250 0.250 0.250 1
Bi1 Bi 0.750 0.750 0.750 1
Ce1 Ce 0.000 0.000 0.000 1
```

---

(2)
Entry from Alexandria: an optimized crystal structure of LiCeBiPt (PBE).

Values from the calculation:
Calculated formation energy, eV per atom: -0.62
Space group: F-43m

The structure in CIF format:
```
data_LiCeBiPt
_chemical_formula_sum 'Li1 Ce1 Bi1 Pt1'
_symmetry_space_group_name_H-M 'P 1'
_symmetry_Int_Tables_number 1
_symmetry_space_group_name_Hall 'P 1'
_cell_length_a 4.974
_cell_length_b 4.974
_cell_length_c 4.974
_cell_angle_alpha 60.00
_cell_angle_beta 60.00
_cell_angle_gamma 60.00
loop_
_atom_site_label
_atom_site_type_symbol
_atom_site_fract_x
_atom_site_fract_y
_atom_site_fract_z
_atom_site_occupancy
Bi1 Bi 0.500 0.500 0.500 1
Ce1 Ce 0.000 0.000 0.000 1
Li1 Li 0.250 0.250 0.250 1
Pt1 Pt 0.750 0.750 0.750 1
```

---

(3)
Entry from Alexandria: an optimized crystal structure of LiCeBiRh (PBE).

Values from the calculation:
Calculated formation energy, eV per atom: -0.58
Space group: F-43m

The structure in CIF format:
```
data_LiCeBiRh
_chemical_formula_sum 'Li1 Ce1 Bi1 Rh1'
_symmetry_space_group_name_H-M 'P 1'
_symmetry_Int_Tables_number 1
_symmetry_space_group_name_Hall 'P 1'
_cell_length_a 4.873
_cell_length_b 4.873
_cell_length_c 4.873
_cell_angle_alpha 60.00
_cell_angle_beta 60.00
_cell_angle_gamma 60.00
loop_
_atom_site_label
_atom_site_type_symbol
_atom_site_fract_x
_atom_site_fract_y
_atom_site_fract_z
_atom_site_occupancy
Li1 Li 0.000 0.000 0.000 1
Ce1 Ce 0.750 0.750 0.750 1
Rh1 Rh 0.500 0.500 0.500 1
Bi1 Bi 0.250 0.250 0.250 1
```

---

(4)
Entry from Alexandria: an optimized crystal structure of LiCeBiRu (PBE).

Values from the calculation:
Calculated formation energy, eV per atom: -0.34
Space group: F-43m

The structure in CIF format:
```
data_LiCeBiRu
_chemical_formula_sum 'Li1 Ce1 Bi1 Ru1'
_symmetry_space_group_name_H-M 'P 1'
_symmetry_Int_Tables_number 1
_symmetry_space_group_name_Hall 'P 1'
_cell_length_a 4.827
_cell_length_b 4.827
_cell_length_c 4.827
_cell_angle_alpha 60.00
_cell_angle_beta 60.00
_cell_angle_gamma 60.00
loop_
_atom_site_label
_atom_site_type_symbol
_atom_site_fract_x
_atom_site_fract_y
_atom_site_fract_z
_atom_site_occupancy
Ru1 Ru 0.500 0.500 0.500 1
Bi1 Bi 0.750 0.750 0.750 1
Ce1 Ce 0.250 0.250 0.250 1
Li1 Li 0.000 0.000 0.000 1
```

---

(5)
Entry from Alexandria: an optimized crystal structure of Li3CeBi2S6 (PBE).

Values from the calculation:
E_tot, eV/atom: -4.748
Space group: C2/m

The structure in CIF format:
```
data_Li3CeBi2S6
_chemical_formula_sum 'Li3 Ce1 Bi2 S6'
_symmetry_space_group_name_H-M 'P 1'
_symmetry_Int_Tables_number 1
_symmetry_space_group_name_Hall 'P 1'
_cell_length_a 6.979
_cell_length_b 6.979
_cell_length_c 6.672
_cell_angle_alpha 99.73
_cell_angle_beta 99.73
_cell_angle_gamma 120.21
loop_
_atom_site_label
_atom_site_type_symbol
_atom_site_fract_x
_atom_site_fract_y
_atom_site_fract_z
_atom_site_occupancy
S1 S 0.749 0.749 0.259 1
Bi1 Bi 0.335 0.665 0.000 1
S2 S 0.251 0.251 0.741 1
Li1 Li 0.500 0.500 0.500 1
Li2 Li 0.184 0.816 0.500 1
Bi2 Bi 0.665 0.335 0.000 1
S3 S 0.085 0.419 0.260 1
S4 S 0.581 0.915 0.740 1
Li3 Li 0.816 0.184 0.500 1
Ce1 Ce 0.000 0.000 0.000 1
S5 S 0.915 0.581 0.740 1
S6 S 0.419 0.085 0.260 1
```

---

(6)
Entry from Alexandria: an optimized crystal structure of LiCeBiSb (PBE).

Values from the calculation:
E_tot, eV/atom: -4.497
Space group: F-43m

The structure in CIF format:
```
data_LiCeBiSb
_chemical_formula_sum 'Li1 Ce1 Bi1 Sb1'
_symmetry_space_group_name_H-M 'P 1'
_symmetry_Int_Tables_number 1
_symmetry_space_group_name_Hall 'P 1'
_cell_length_a 5.336
_cell_length_b 5.336
_cell_length_c 5.336
_cell_angle_alpha 60.00
_cell_angle_beta 60.00
_cell_angle_gamma 60.00
loop_
_atom_site_label
_atom_site_type_symbol
_atom_site_fract_x
_atom_site_fract_y
_atom_site_fract_z
_atom_site_occupancy
Ce1 Ce 0.250 0.250 0.250 1
Bi1 Bi 0.000 0.000 0.000 1
Li1 Li 0.750 0.750 0.750 1
Sb1 Sb 0.500 0.500 0.500 1
```

---

| no. | M_tot (μB per formula unit) | calculated volume (Å³/cell) |
| --- | --- | --- |
| 1 | 1.9 | 114 |
| 2 | 0.8 | 87 |
| 3 | 0.9 | 82 |
| 4 | 0.2 | 80 |
| 5 | 1.0 | 264 |
| 6 | 0.3 | 107 |